Run A
DFT (PBE) results for crystalline BaTaReAs2 at its relaxed geometry.

Output
V: 25.17 Å³ per atom
Mass density: 8632 kg/m³

```
BaTaReAs2
1.0
-2.928 2.414 3.212
-1.133 -4.409 2.282
3.863 0.598 3.072
As Ta Ba Re
2 1 1 1
Direct
0.500 0.000 0.000
0.000 0.000 0.500
0.000 0.500 0.000
0.500 0.500 0.500
0.000 0.000 0.000
```



Run B
DFT (PBE) results for crystalline BaTaReAs2 at its relaxed geometry.

Output
V: 27.11 Å³ per atom
Mass density: 8016 kg/m³

```
BaTaReAs2
1.0
-3.535 0.061 -3.339
2.346 -4.557 -2.567
-2.682 -2.949 2.785
Ba Ta Re As
1 1 1 2
Direct
0.000 0.500 0.000
0.500 0.500 0.500
0.000 0.000 0.000
0.500 0.000 0.000
0.000 0.000 0.500
```



run A ends up most stable, edging out the next structure by 77.7 kJ/mol of atoms.



Run A
DFT (PBE) results for crystalline BaAsRhSe2 at its relaxed geometry.

Output
V: 25.95 Å³ per atom
Mass density: 6055 kg/m³

```
BaAsRhSe2
1.0
-3.477 -2.379 -3.257
4.028 -2.255 -2.654
-0.167 -3.606 2.812
Se Rh Ba As
2 1 1 1
Direct
0.000 0.500 0.000
0.500 0.000 0.000
0.000 0.000 0.000
0.500 0.500 0.500
0.000 0.000 0.500
```



Run B
DFT (PBE) results for crystalline BaAsRhSe2 at its relaxed geometry.

Output
V: 41.61 Å³ per atom
Mass density: 3776 kg/m³

```
BaAsRhSe2
1.0
5.958 0.000 0.000
0.000 5.958 0.000
0.000 0.000 5.861
Se Rh As Ba
2 1 1 1
Direct
0.000 0.500 0.000
0.500 0.000 0.000
0.500 0.500 0.500
0.000 0.000 0.500
0.000 0.000 0.000
```



run A ends up most stable, edging out the next structure by 188.4 kJ/mol of atoms.



Run A
DFT (PBE) results for crystalline Ba2AsRu2 at its relaxed geometry.

Output
V: 24.11 Å³ per atom
Mass density: 7600 kg/m³

```
Ba2AsRu2
1.0
-6.623 -1.378 0.612
0.420 -4.332 -5.214
1.114 -3.882 3.316
Ru Ba As
4 4 2
Direct
0.628 0.128 0.000
0.128 0.372 0.000
0.872 0.628 0.000
0.372 0.872 0.000
0.183 0.683 0.500
0.317 0.183 0.500
0.683 0.817 0.500
0.817 0.317 0.500
0.000 0.000 0.000
0.500 0.500 0.000
```



Run B
DFT (PBE) results for crystalline Ba2AsRu2 at its relaxed geometry.

Output
V: 28.39 Å³ per atom
Mass density: 6454 kg/m³

```
Ba2AsRu2
1.0
-0.342 -5.387 3.166
5.513 1.233 2.693
0.882 -0.377 5.639
Ba Ru As
2 2 1
Direct
0.250 0.750 0.500
0.750 0.250 0.500
0.335 0.335 0.331
0.665 0.665 0.669
0.000 0.000 0.000
```



run A ends up most stable, edging out the next structure by 20.7 kJ/mol of atoms.



Run A
DFT (PBE) results for crystalline BaAsRu3 at its relaxed geometry.

Output
V: 20.95 Å³ per atom
Mass density: 8171 kg/m³

```
BaAsRu3
1.0
4.714 0.000 0.000
0.000 4.714 0.000
0.000 0.000 4.714
As Ru Ba
1 3 1
Direct
0.000 0.000 0.000
0.000 0.000 0.500
0.500 0.000 0.000
0.000 0.500 0.000
0.500 0.500 0.500
```



Run B
DFT (PBE) results for crystalline BaAsRu3 at its relaxed geometry.

Output
V: 25.13 Å³ per atom
Mass density: 6813 kg/m³

```
BaAsRu3
1.0
5.008 0.000 0.000
0.000 5.008 0.000
0.000 0.000 5.008
As Ru Ba
1 3 1
Direct
0.500 0.500 0.500
0.000 0.500 0.000
0.000 0.000 0.500
0.500 0.000 0.000
0.000 0.000 0.000
```



run A ends up most stable, edging out the next structure by 206.5 kJ/mol of atoms.